Crystalline Al7Zn3Ag at its relaxed geometry. Source: Alexandria, functional PBE.

As for the total energy: -2.829 eV/atom.

The structure belongs to space group C2/m (No. 12); the cell edges are 9.0791, 9.6864 and 5.2852 Å and the angles 90.00°, 121.12° and 90.00°. The distinct sites, in fractional coordinates, are Al at (0.0000, 0.0000, 0.0000), Al at (0.1738, 0.2603, 0.6759), Al at (0.1764, 0.5000, 0.0670), Zn at (0.0000, 0.2690, 0.0000), Zn at (0.0000, 0.5000, 0.5000) and Ag at (0.0000, 0.0000, 0.5000).

***

Crystalline Al2ZnAg at its relaxed geometry. Source: Alexandria, functional PBE.

As for the total energy: -2.882 eV/atom.

The structure belongs to space group C2/m (No. 12); the cell edges are 5.7191, 5.7600 and 4.7846 Å and the angles 90.00°, 122.46° and 90.00°. The distinct sites, in fractional coordinates, are Al at (0.0000, 0.2481, 0.0000), Zn at (0.0000, 0.0000, 0.5000) and Ag at (0.0000, 0.5000, 0.5000).

***

Crystalline Al4Zn5Ag at its relaxed geometry. Source: Alexandria, functional PBE.

As for the total energy: -2.315 eV/atom. The calculation puts the excess energy over the best structure of this formula in the dataset at 90.5 meV per atom.

The structure belongs to space group C2/m (No. 12); the cell edges are 13.4970, 3.9575 and 8.0192 Å and the angles 90.00°, 122.76° and 90.00°. The distinct sites, in fractional coordinates, are Al at (0.0234, 0.0000, 0.2766), Al at (0.1581, 0.5000, 0.9011), Zn at (0.0000, 0.5000, 0.5000), Zn at (0.1680, 0.0000, 0.6663), Zn at (0.1740, 0.0000, 0.1716) and Ag at (0.0000, 0.5000, 0.0000).

***

Crystalline Al8Zn2Ag at its relaxed geometry. Source: Alexandria, functional PBE.

As for the total energy: -3.001 eV/atom.

The structure belongs to space group C2/m (No. 12); the cell edges are 11.4425, 7.5780 and 5.0745 Å and the angles 90.00°, 102.34° and 90.00°. The distinct sites, in fractional coordinates, are Al at (0.0867, 0.0000, 0.2244), Al at (0.1058, 0.1975, 0.7233), Al at (0.2116, 0.5000, 0.4087), Zn at (0.2076, 0.5000, 0.9208) and Ag at (0.0000, 0.5000, 0.5000).

***

Crystalline Al5Zn6Ag at its relaxed geometry. Source: Alexandria, functional PBE.

As for the total energy: -2.425 eV/atom.

The structure belongs to space group C2/m (No. 12); the cell edges are 9.4369, 8.4273 and 4.8989 Å and the angles 90.00°, 99.72° and 90.00°. The distinct sites, in fractional coordinates, are Al at (0.0000, 0.0000, 0.0000), Al at (0.0000, 0.1656, 0.5000), Al at (0.0000, 0.3325, 0.0000), Zn at (0.2444, 0.0000, 0.7426), Zn at (0.2479, 0.1672, 0.2442) and Ag at (0.0000, 0.5000, 0.5000).

***

Crystalline Al6ZnAg5 at its relaxed geometry. Source: Alexandria, functional PBE.

As for the total energy: -3.147 eV/atom. The calculation puts the excess energy over the best structure of this formula in the dataset at 36.7 meV per atom.

The structure belongs to space group P2/m (No. 10); the cell edges are 4.0522, 8.0534 and 6.4703 Å and the angles 90.00°, 106.21° and 90.00°. The distinct sites, in fractional coordinates, are Al at (0.0000, 0.2473, 0.0000), Al at (0.3322, 0.2476, 0.6683), Zn at (0.5000, 0.0000, 0.0000), Ag at (0.1674, 0.5000, 0.3346), Ag at (0.1688, 0.0000, 0.3276) and Ag at (0.5000, 0.5000, 0.0000).

***

Crystalline AlZnAg2 at its relaxed geometry. Source: Alexandria, functional PBE.

As for the total energy: -2.706 eV/atom.

The structure belongs to space group C2/m (No. 12); the cell edges are 9.1874, 2.9616 and 4.9973 Å and the angles 90.00°, 102.10° and 90.00°. The distinct sites, in fractional coordinates, are Al at (0.0000, 0.0000, 0.0000), Zn at (0.0000, 0.5000, 0.5000) and Ag at (0.2473, 0.5000, 0.2482).

***

Crystalline Al2ZnAg9 at its relaxed geometry. Source: Alexandria, functional PBE.

As for the total energy: -2.891 eV/atom.

The structure belongs to space group P4/mmm (No. 123); the cell edges are 4.0988, 4.0988 and 12.2364 Å and the angles 90.00°, 90.00° and 90.00°. The distinct sites, in fractional coordinates, are Al at (0.0000, 0.0000, 0.1681), Zn at (0.0000, 0.0000, 0.5000), Ag at (0.0000, 0.5000, 0.0000), Ag at (0.0000, 0.5000, 0.3329), Ag at (0.5000, 0.5000, 0.1660) and Ag at (0.5000, 0.5000, 0.5000).

***

Crystalline Al6Zn8Ag at its relaxed geometry. Source: Alexandria, functional PBE.

As for the total energy: -2.283 eV/atom.

The structure belongs to space group R-3 (No. 148, hexagonal axes); the cell edges are 8.4624, 8.4624 and 12.4567 Å and the angles 90.00°, 90.00° and 120.00°. The distinct sites, in fractional coordinates, are Al at (0.0408, 0.2093, 0.4090), Zn at (0.0000, 0.0000, 0.2215), Zn at (0.0372, 0.4124, 0.5721) and Ag at (0.0000, 0.0000, 0.0000).

***

Crystalline Al6Zn2Ag at its relaxed geometry. Source: Alexandria, functional PBE.

As for the total energy: -2.928 eV/atom. The calculation puts the excess energy over the best structure of this formula in the dataset at 96.8 meV per atom.

The structure belongs to space group R3m (No. 160, hexagonal axes); the cell edges are 5.6993, 5.6993 and 17.9436 Å and the angles 90.00°, 90.00° and 120.00°. The distinct sites, in fractional coordinates, are Al at (0.1755, 0.3511, 0.0000), Al at (0.1756, 0.3511, 0.2114), Zn at (0.0000, 0.0000, 0.7198), Zn at (0.0000, 0.0000, 0.8734) and Ag at (0.0000, 0.0000, 0.1043).

***

Crystalline AlZn2Ag at its relaxed geometry. Source: Alexandria, functional PBE.

As for the total energy: -2.281 eV/atom.

The structure belongs to space group R3m (No. 160, hexagonal axes); the cell edges are 2.9281, 2.9281 and 26.2687 Å and the angles 90.00°, 90.00° and 120.00°. The distinct sites, in fractional coordinates, are Al at (0.0000, 0.0000, 0.0000), Zn at (0.0000, 0.0000, 0.5841), Zn at (0.0000, 0.0000, 0.7488) and Ag at (0.0000, 0.0000, 0.1662).

***

Crystalline Al5ZnAg3 at its relaxed geometry. Source: Alexandria, functional PBE.

As for the total energy: -2.956 eV/atom.

The structure belongs to space group C2/m (No. 12); the cell edges are 9.8220, 9.4664 and 8.3315 Å and the angles 90.00°, 108.30° and 90.00°. The distinct sites, in fractional coordinates, are Al at (0.0000, 0.2350, 0.0000), Al at (0.1039, 0.2446, 0.4139), Al at (0.2416, 0.5000, 0.5770), Al at (0.2488, 0.0000, 0.0703), Zn at (0.2473, 0.5000, 0.2508), Ag at (0.0000, 0.0000, 0.5000), Ag at (0.0000, 0.5000, 0.0000), Ag at (0.0050, 0.0000, 0.1730) and Ag at (0.0134, 0.5000, 0.6743).

***

Crystalline Al5Zn4Ag at its relaxed geometry. Source: Alexandria, functional PBE.

As for the total energy: -2.642 eV/atom.

The structure belongs to space group P-1 (No. 2); the cell edges are 4.0042, 4.9597 and 8.9204 Å and the angles 88.19°, 89.84° and 66.39°. The distinct sites, in fractional coordinates, are Al at (0.0000, 0.0000, 0.0000), Al at (0.2035, 0.5921, 0.6010), Al at (0.3971, 0.2056, 0.1999), Zn at (0.0984, 0.8029, 0.2965), Zn at (0.3001, 0.4008, 0.9003) and Ag at (0.5000, 0.0000, 0.5000).

***

Crystalline AlZnAg2 at its relaxed geometry. Source: Alexandria, functional PBE.

As for the total energy: -2.709 eV/atom.

The structure belongs to space group P2/m (No. 10); the cell edges are 4.6832, 3.0152 and 4.8999 Å and the angles 90.00°, 105.87° and 90.00°. The distinct sites, in fractional coordinates, are Al at (0.0000, 0.0000, 0.0000), Zn at (0.0000, 0.5000, 0.5000), Ag at (0.5000, 0.0000, 0.5000) and Ag at (0.5000, 0.5000, 0.0000).

***

Crystalline AlZnAg2 at its relaxed geometry. Source: Alexandria, functional PBE.

As for the total energy: -2.674 eV/atom.

The structure belongs to space group Immm (No. 71); the cell edges are 3.0255, 4.8923 and 9.0593 Å and the angles 90.00°, 90.00° and 90.00°. The distinct sites, in fractional coordinates, are Al at (0.0000, 0.0000, 0.0000), Zn at (0.0000, 0.0000, 0.5000) and Ag at (0.0000, 0.5000, 0.2514).

***

Crystalline AlZn4Ag at its relaxed geometry. Source: Alexandria, functional PBE.

As for the total energy: -1.893 eV/atom. The calculation puts the excess energy over the best structure of this formula in the dataset at 35.7 meV per atom.

The structure belongs to space group F-43m (No. 216); the cell edges are 7.2592, 7.2592 and 7.2592 Å and the angles 90.00°, 90.00° and 90.00°. The distinct sites, in fractional coordinates, are Al at (0.0000, 0.0000, 0.0000), Zn at (0.1248, 0.1248, 0.3752) and Ag at (0.2500, 0.2500, 0.7500).

***

Crystalline AlZnAg at its relaxed geometry. Source: Alexandria, functional PBE.

As for the total energy: -2.528 eV/atom. The calculation puts the excess energy over the best structure of this formula in the dataset at 127.5 meV per atom.

The structure belongs to space group F-43m (No. 216); the cell edges are 6.1016, 6.1016 and 6.1016 Å and the angles 90.00°, 90.00° and 90.00°. The distinct sites, in fractional coordinates, are Al at (0.0000, 0.0000, 0.0000), Zn at (0.0000, 0.0000, 0.5000) and Ag at (0.2500, 0.2500, 0.7500).

***

Crystalline AlZn4Ag3 at its relaxed geometry. Source: Alexandria, functional PBE.

As for the total energy: -2.111 eV/atom.

The structure belongs to space group C2/m (No. 12); the cell edges are 21.9855, 2.8383 and 4.6038 Å and the angles 90.00°, 95.01° and 90.00°. The distinct sites, in fractional coordinates, are Al at (0.0000, 0.0000, 0.0000), Zn at (0.1024, 0.5000, 0.0408), Zn at (0.2020, 0.0000, 0.0686), Ag at (0.0000, 0.5000, 0.5000) and Ag at (0.1855, 0.5000, 0.5604).

***

Crystalline Al8Zn3Ag2 at its relaxed geometry. Source: Alexandria, functional PBE.

As for the total energy: -2.891 eV/atom.

The structure belongs to space group C2/m (No. 12); the cell edges are 8.7641, 8.7460 and 7.5023 Å and the angles 90.00°, 117.74° and 90.00°. The distinct sites, in fractional coordinates, are Al at (0.0618, 0.0000, 0.3585), Al at (0.0786, 0.2589, 0.8752), Al at (0.1017, 0.5000, 0.3961), Zn at (0.0000, 0.2504, 0.5000), Zn at (0.0000, 0.5000, 0.0000) and Ag at (0.1900, 0.0000, 0.0824).

***

Crystalline AlZnAg2 at its relaxed geometry. Source: Alexandria, functional PBE.

As for the total energy: -2.663 eV/atom.

The structure belongs to space group Cmmm (No. 65); the cell edges are 3.0913, 4.8045 and 9.0239 Å and the angles 90.00°, 90.00° and 90.00°. The distinct sites, in fractional coordinates, are Al at (0.0000, 0.0000, 0.0000), Zn at (0.0000, 0.0000, 0.5000) and Ag at (0.0000, 0.5000, 0.2496).

***

Crystalline Al2ZnAg at its relaxed geometry. Source: Alexandria, functional PBE.

As for the total energy: -2.903 eV/atom.

The structure belongs to space group P4mm (No. 99); the cell edges are 2.8316, 2.8316 and 8.2292 Å and the angles 90.00°, 90.00° and 90.00°. The distinct sites, in fractional coordinates, are Al at (0.0000, 0.0000, 0.0000), Al at (0.5000, 0.5000, 0.2537), Zn at (0.0000, 0.0000, 0.4985) and Ag at (0.5000, 0.5000, 0.7503).

***

Crystalline Al3Zn4Ag at its relaxed geometry. Source: Alexandria, functional PBE.

As for the total energy: -2.269 eV/atom.

The structure belongs to space group C2/m (No. 12); the cell edges are 21.4911, 3.0136 and 4.3772 Å and the angles 90.00°, 93.63° and 90.00°. The distinct sites, in fractional coordinates, are Al at (0.0000, 0.0000, 0.0000), Al at (0.1843, 0.0000, 0.0766), Zn at (0.1030, 0.0000, 0.5327), Zn at (0.2028, 0.5000, 0.5893) and Ag at (0.0000, 0.5000, 0.5000).

***

Crystalline Al2Zn4Ag5 at its relaxed geometry. Source: Alexandria, functional PBE.

As for the total energy: -2.442 eV/atom. The calculation puts the excess energy over the best structure of this formula in the dataset at 0.0 meV per atom.

The structure belongs to space group Pbam (No. 55); the cell edges are 5.2626, 15.3972 and 4.4584 Å and the angles 90.00°, 90.00° and 90.00°. The distinct sites, in fractional coordinates, are Al at (0.1383, 0.2057, 0.0000), Zn at (0.1593, 0.3765, 0.0000), Zn at (0.2219, 0.0369, 0.0000), Ag at (0.0000, 0.5000, 0.5000), Ag at (0.0227, 0.9000, 0.5000) and Ag at (0.0446, 0.7030, 0.5000).

***

The evaluated total magnetic moment for the records listed, in turn: 0.0; 0.0; 0.0; 0.0; 0.0; 0.0; 0.0; 0.0; 0.0; 0.0; 0.0; 0.0; 0.0; 0.0; 0.0; 0.0; 0.0; 0.0; 0.0; 0.0; 0.0; 0.0; 0.0 μB/f.u..
The evaluated energy of formation from the pure elements for the records listed, in turn: 0.16; 0.02; 0.10; 0.21; 0.01; 0.02; -0.03; -0.02; 0.08; 0.17; 0.00; 0.22; 0.02; -0.03; 0.01; 0.06; 0.09; 0.06; 0.15; 0.02; 0.00; 0.13; 0.00 eV per atom.